(1)
Dy2MgGa4Ir3 | GGA-PBE | relaxed

POSCAR file:
```
Dy2MgGa4Ir3
1.0
-3.063 2.533 -0.583
-0.618 0.164 3.965
7.254 8.946 0.760
Ir Ga Dy Mg
3 4 2 1
Direct
0.000 0.000 0.500
0.500 0.000 0.862
0.000 0.500 0.138
0.500 0.500 0.000
0.000 0.500 0.355
0.500 0.000 0.645
0.000 0.000 0.000
0.000 0.500 0.764
0.500 0.000 0.236
0.500 0.500 0.500
```

Results
Density, g cm⁻³: 10.744
Calculated volume, Å³/cell: 186.2
Energy, eV/atom: -5.59
SG: P-4m2 (115)
Energy of formation, meV/atom: -643
D(E_F), states/eV/atom: 0.451
Crystal system: tetragonal

---

(2)
CaSc2Nb | GGA-PBE | relaxed

POSCAR file:
```
CaSc2Nb
1.0
1.868 0.000 11.065
-0.934 1.618 11.065
-0.934 -1.618 11.065
Sc Nb Ca
2 1 1
Direct
0.904 0.904 0.904
0.096 0.096 0.096
0.500 0.500 0.500
0.000 0.000 0.000
```

Results
Density, g cm⁻³: 3.690
Calculated volume, Å³/cell: 100.3
Offset from the most stable computed form, kJ per mole of atoms: 11.4
Energy, eV/atom: -5.87
SG: R-3m (166)
Energy of formation, meV/atom: 317
D(E_F), states/eV/atom: 1.267
Crystal system: trigonal

---

(3)
EuHg4Sb | GGA-PBE | relaxed

POSCAR file:
```
EuHg4Sb
1.0
-5.035 -2.040 -2.857
-1.210 -6.016 -0.167
-4.669 -2.283 3.265
Hg Sb Eu
4 1 1
Direct
0.625 0.124 0.625
0.625 0.625 0.625
0.124 0.625 0.625
0.625 0.625 0.124
0.000 0.000 0.000
0.250 0.250 0.250
```

Results
Density, g cm⁻³: 10.926
ΔE_f (raw), eV/atom: -0.165
Calculated volume, Å³/cell: 163.5
Energy, eV/atom: -2.77
SG: F-43m (216)
D(E_F), states/eV/atom: 1.889
Crystal system: cubic

---

(4)
LaZr2P | GGA-PBE | relaxed

POSCAR file:
```
LaZr2P
1.0
1.581 -4.212 -2.991
2.773 -4.625 0.327
-3.069 -5.179 0.458
Zr P La
2 1 1
Direct
0.257 0.257 0.224
0.057 0.057 0.881
0.741 0.741 0.925
0.444 0.444 0.470
```

Results
Density, g cm⁻³: 6.204
Calculated volume, Å³/cell: 94.3
Energy, eV/atom: -7.40
SG: Cm (8)
Energy of formation, meV/atom: -545
D(E_F), states/eV/atom: 0.846
Crystal system: monoclinic

---

(5)
PmTh3Sc7 | GGA-PBE | relaxed

POSCAR file:
```
PmTh3Sc7
1.0
-4.935 -4.145 4.857
-0.921 -4.599 -4.861
5.020 -0.755 4.456
Sc Th Pm
7 3 1
Direct
0.445 0.833 0.665
0.116 0.165 0.835
0.123 0.667 0.333
0.116 0.670 0.835
0.116 0.165 0.330
0.445 0.833 0.167
0.445 0.335 0.167
0.788 0.502 0.003
0.788 0.997 0.498
0.788 0.502 0.498
0.444 0.333 0.667
```

Results
Density, g cm⁻³: 6.019
Calculated volume, Å³/cell: 318.9
Energy, eV/atom: -6.25
SG: P3m1 (156)
Energy of formation, meV/atom: 236
D(E_F), states/eV/atom: 1.449
Crystal system: trigonal

---

(6)
Mn3AgPt12 | GGA-PBE | relaxed

POSCAR file:
```
Mn3AgPt12
1.0
3.941 0.000 0.000
0.000 3.941 0.000
0.000 0.000 15.841
Pt Mn Ag
12 3 1
Direct
0.000 0.500 0.376
0.500 0.500 0.000
0.500 0.000 0.869
0.500 0.500 0.747
0.000 0.500 0.131
0.500 0.500 0.253
0.500 0.000 0.131
0.000 0.500 0.624
0.000 0.500 0.869
0.500 0.000 0.376
0.500 0.000 0.624
0.500 0.500 0.500
0.000 0.000 0.500
0.000 0.000 0.749
0.000 0.000 0.251
0.000 0.000 0.000
```

Results
Density, g cm⁻³: 17.640
Calculated volume, Å³/cell: 246.0
Energy, eV/atom: -6.69
SG: P4/mmm (123)
Energy of formation, meV/atom: -263
D(E_F), states/eV/atom: 0.986
Crystal system: tetragonal